w:
This record from the Open Quantum Materials Database describes crystalline Gd2Tm3Cd3 at its relaxed geometry. The functional is PBE.

Values from the calculation:
**SG**: Amm2 (38)
**Spin magnetization**: 0.0 μB/cell
**Volume**: 219.0 Å³/cell
**Density**: 8.78 g/cm³

a = 5.5280 Å, b = 6.6367 Å, c = 6.6367 Å
α = 64.08°, β = 90.00°, γ = 90.00°
Last column: nearest neighbours and their distance in Å.
Sites, in units of the cell vectors:
Gd 0.0000 0.0000 0.0000  6 Cd 3.31-3.52, 6 Tm 3.32-3.48
Gd 0.5000 0.3565 0.3565  6 Cd 3.25-3.38, 6 Tm 3.49-3.56
Tm 0.0000 0.9998 0.4996  4 Cd 3.24-3.40, 4 Gd 3.32-3.49, 4 Tm 3.35-3.52
Tm 0.0000 0.4996 0.9998  4 Cd 3.24-3.40, 4 Gd 3.32-3.49, 4 Tm 3.35-3.52
Tm 0.5000 0.8114 0.8114  4 Cd 3.21-3.47, 4 Tm 3.35, 4 Gd 3.48-3.56
Cd 0.0000 0.5078 0.5078  4 Tm 3.24-3.40, 4 Gd 3.25-3.52, 4 Cd 3.53
Cd 0.5000 0.3045 0.8721  1 Cd 3.05, 3 Tm 3.21-3.32, 4 Gd 3.29-3.38
Cd 0.5000 0.8721 0.3045  1 Cd 3.05, 3 Tm 3.21-3.32, 4 Gd 3.29-3.38

***

x:
This record from the Open Quantum Materials Database describes crystalline Gd2Tm3Cd3 at its relaxed geometry. The functional is PBE.

Values from the calculation:
**SG**: P-6m2 (187)
**Spin magnetization**: 0.0 μB/cell
**Volume**: 218.2 Å³/cell
**Density**: 8.82 g/cm³

a = 6.8443 Å, b = 6.8443 Å, c = 5.3796 Å
α = 90.00°, β = 90.00°, γ = 120.00°
Last column: nearest neighbours and their distance in Å.
Sites, in units of the cell vectors:
Gd 0.0000 0.0000 0.0000  6 Tm 3.34, 6 Cd 3.42
Gd 0.3333 0.6667 0.5000  6 Cd 3.38, 6 Tm 3.42
Tm 0.3327 0.1663 0.5000  4 Cd 3.32, 4 Gd 3.34-3.42, 4 Tm 3.42-3.43
Tm 0.8337 0.1663 0.5000  4 Cd 3.32, 4 Gd 3.34-3.42, 4 Tm 3.42-3.43
Tm 0.8337 0.6673 0.5000  4 Cd 3.32, 4 Gd 3.34-3.42, 4 Tm 3.42-3.43
Cd 0.5061 0.0123 0.0000  4 Cd 3.30-3.55, 4 Tm 3.32, 4 Gd 3.38-3.42
Cd 0.5061 0.4939 0.0000  4 Cd 3.30-3.55, 4 Tm 3.32, 4 Gd 3.38-3.42
Cd 0.9877 0.4939 0.0000  4 Cd 3.30-3.55, 4 Tm 3.32, 4 Gd 3.38-3.42

***

Least stable of them? x.

***

w:
This record from the Open Quantum Materials Database describes crystalline CdGe2 at its relaxed geometry. The functional is PBE.

Values from the calculation:
**SG**: Fd-3m (227)
**Volume**: 127.9 Å³/cell
**Density**: 6.69 g/cm³

a = 5.6558 Å, b = 5.6558 Å, c = 5.6558 Å
α = 60.00°, β = 60.00°, γ = 60.00°
Last column: nearest neighbours and their distance in Å.
Sites, in units of the cell vectors:
Cd 0.1250 0.1250 0.1250  12 Ge 3.32, 4 Cd 3.46
Cd 0.8750 0.8750 0.8750  12 Ge 3.32, 4 Cd 3.46
Ge 0.0000 0.5000 0.5000  6 Ge 2.83
Ge 0.5000 0.0000 0.5000  6 Ge 2.83
Ge 0.5000 0.5000 0.0000  6 Ge 2.83
Ge 0.5000 0.5000 0.5000  6 Ge 2.83

***

x:
This record from the Open Quantum Materials Database describes crystalline CdGe2 at its relaxed geometry. The functional is PBE.

Values from the calculation:
**SG**: R-3m (166)
**Volume**: 66.2 Å³/cell
**Density**: 6.46 g/cm³

a = 6.0053 Å, b = 6.0053 Å, c = 6.0053 Å
α = 35.78°, β = 35.78°, γ = 35.78°
Last column: nearest neighbours and their distance in Å.
Sites, in units of the cell vectors:
Cd 0.0000 0.0000 0.0000  6 Ge 2.98
Ge 0.2095 0.2095 0.2095  3 Ge 2.57
Ge 0.7905 0.7905 0.7905  3 Ge 2.57

***

Least stable of them? w.

***

w:
This record from the Open Quantum Materials Database describes crystalline MgCdNiGe at its relaxed geometry. The functional is PBE.

Values from the calculation:
**SG**: F-43m (216)
**Spin magnetization**: 0.0 μB/cell
**Volume**: 66.2 Å³/cell
**Density**: 6.73 g/cm³

a = 4.5400 Å, b = 4.5400 Å, c = 4.5400 Å
α = 60.00°, β = 60.00°, γ = 60.00°
Last column: nearest neighbours and their distance in Å.
Sites, in units of the cell vectors:
Mg 0.0000 0.0000 0.0000  4 Cd 2.78, 4 Ge 2.78
Cd 0.7500 0.7500 0.7500  4 Ni 2.78, 4 Mg 2.78
Ni 0.5000 0.5000 0.5000  4 Cd 2.78, 4 Ge 2.78
Ge 0.2500 0.2500 0.2500  4 Mg 2.78, 4 Ni 2.78

***

x:
This record from the Open Quantum Materials Database describes crystalline MgCdNiGe at its relaxed geometry. The functional is PBE.

Values from the calculation:
**SG**: F-43m (216)
**Spin magnetization**: 0.0 μB/cell
**Volume**: 69.6 Å³/cell
**Density**: 6.40 g/cm³

a = 4.6169 Å, b = 4.6169 Å, c = 4.6169 Å
α = 60.00°, β = 60.00°, γ = 60.00°
Last column: nearest neighbours and their distance in Å.
Sites, in units of the cell vectors:
Mg 0.0000 0.0000 0.0000  4 Ge 2.83, 4 Ni 2.83
Cd 0.5000 0.5000 0.5000  4 Ge 2.83, 4 Ni 2.83
Ni 0.2500 0.2500 0.2500  4 Cd 2.83, 4 Mg 2.83
Ge 0.7500 0.7500 0.7500  4 Cd 2.83, 4 Mg 2.83

***

Least stable of them? x.

***

w:
This record from the Open Quantum Materials Database describes crystalline MgCdGeO4 at its relaxed geometry. The functional is PBE.

Values from the calculation:
**SG**: P4_122 (91)
**Volume**: 314.6 Å³/cell
**Density**: 5.77 g/cm³

a = 6.0702 Å, b = 6.0702 Å, c = 8.5389 Å
α = 90.00°, β = 90.00°, γ = 90.00°
Last column: nearest neighbours and their distance in Å.
Sites, in units of the cell vectors:
Mg 0.0000 0.2461 0.0000  6 O 2.07-2.11
Mg 0.0000 0.7539 0.5000  6 O 2.07-2.11
Mg 0.2461 0.0000 0.7500  6 O 2.07-2.11
Mg 0.7539 0.0000 0.2500  6 O 2.07-2.11
Cd 0.2482 0.5000 0.7500  6 O 2.27-2.31
Cd 0.5000 0.2482 0.0000  6 O 2.27-2.31
Cd 0.5000 0.7518 0.5000  6 O 2.27-2.31
Cd 0.7518 0.5000 0.2500  6 O 2.27-2.31
Ge 0.2389 0.2389 0.3750  4 O 1.79-1.80
Ge 0.2389 0.7611 0.1250  4 O 1.79-1.80
Ge 0.7611 0.2389 0.6250  4 O 1.79-1.80
Ge 0.7611 0.7611 0.8750  4 O 1.79-1.80
O 0.0089 0.2290 0.2425  1 Ge 1.80
O 0.0089 0.7710 0.2575  1 Ge 1.80
O 0.2281 0.4930 0.4804  1 Ge 1.79
O 0.2281 0.5070 0.0196  1 Ge 1.79
O 0.2290 0.0089 0.5075  1 Ge 1.80
O 0.2290 0.9911 0.9925  1 Ge 1.80
O 0.4930 0.2281 0.2696  1 Ge 1.79
O 0.4930 0.7719 0.2304  1 Ge 1.79
O 0.5070 0.2281 0.7304  1 Ge 1.79
O 0.5070 0.7719 0.7696  1 Ge 1.79
O 0.7710 0.0089 0.4925  1 Ge 1.80
O 0.7710 0.9911 0.0075  1 Ge 1.80
O 0.7719 0.4930 0.5196  1 Ge 1.79
O 0.7719 0.5070 0.9804  1 Ge 1.79
O 0.9911 0.2290 0.7575  1 Ge 1.80
O 0.9911 0.7710 0.7425  1 Ge 1.80

***

x:
This record from the Open Quantum Materials Database describes crystalline MgCdGeO4 at its relaxed geometry. The functional is PBE.

Values from the calculation:
**SG**: P4_122 (91)
**Volume**: 320.0 Å³/cell
**Density**: 5.67 g/cm³

a = 6.1190 Å, b = 6.1190 Å, c = 8.5463 Å
α = 90.00°, β = 90.00°, γ = 90.00°
Last column: nearest neighbours and their distance in Å.
Sites, in units of the cell vectors:
Mg 0.0000 0.2577 0.0000  6 O 2.07-2.14
Mg 0.0000 0.7423 0.5000  6 O 2.07-2.14
Mg 0.2577 0.0000 0.7500  6 O 2.07-2.14
Mg 0.7423 0.0000 0.2500  6 O 2.07-2.14
Cd 0.2408 0.2408 0.3750  4 O 2.13-2.16
Cd 0.2408 0.7592 0.1250  4 O 2.13-2.16
Cd 0.7592 0.2408 0.6250  4 O 2.13-2.16
Cd 0.7592 0.7592 0.8750  4 O 2.13-2.16
Ge 0.2543 0.5000 0.7500  6 O 1.88-1.97
Ge 0.5000 0.2543 0.0000  6 O 1.88-1.97
Ge 0.5000 0.7457 0.5000  6 O 1.88-1.97
Ge 0.7457 0.5000 0.2500  6 O 1.88-1.97
O 0.0530 0.2683 0.7575  1 Ge 1.88, 2 Mg 2.07-2.10
O 0.0530 0.7317 0.7425  1 Ge 1.88, 2 Mg 2.07-2.10
O 0.2683 0.0530 0.9925  1 Ge 1.88, 2 Mg 2.07-2.10
O 0.2683 0.9470 0.5075  1 Ge 1.88, 2 Mg 2.07-2.10
O 0.2698 0.4769 0.9754  2 Ge 1.93-1.97, 1 Mg 2.14, 1 Cd 2.16
O 0.2698 0.5231 0.5246  2 Ge 1.93-1.97, 1 Mg 2.14, 1 Cd 2.16
O 0.4769 0.2698 0.7746  2 Ge 1.93-1.97, 1 Mg 2.14, 1 Cd 2.16
O 0.4769 0.7302 0.7254  2 Ge 1.93-1.97, 1 Mg 2.14, 1 Cd 2.16
O 0.5231 0.2698 0.2254  2 Ge 1.93-1.97, 1 Mg 2.14, 1 Cd 2.16
O 0.5231 0.7302 0.2746  2 Ge 1.93-1.97, 1 Mg 2.14, 1 Cd 2.16
O 0.7302 0.4769 0.0246  2 Ge 1.93-1.97, 1 Mg 2.14, 1 Cd 2.16
O 0.7302 0.5231 0.4754  2 Ge 1.93-1.97, 1 Mg 2.14, 1 Cd 2.16
O 0.7317 0.0530 0.0075  1 Ge 1.88, 2 Mg 2.07-2.10
O 0.7317 0.9470 0.4925  1 Ge 1.88, 2 Mg 2.07-2.10
O 0.9470 0.2683 0.2425  1 Ge 1.88, 2 Mg 2.07-2.10
O 0.9470 0.7317 0.2575  1 Ge 1.88, 2 Mg 2.07-2.10

***

Least stable of them? w.